i.
{
  "formula": "CeGd2O",
  "functional": "PBE-GGA",
  "state": "optimized geometry",
  "sg": "R-3m, No. 166",
  "cell": [[-3.2557, 1.0060, 0.8650], [-1.1648, -0.4519, 3.2862], [1.6063, 8.2581, 3.5856]],
  "species": ["Ce", "Gd", "Gd", "O"],
  "frac_coords": [[0.5000, 0.5000, 0.5000], [0.7203, 0.7203, 0.8390], [0.2797, 0.2797, 0.1610], [0.0000, 0.0000, 0.0000]]
}

***

ii.
{
  "formula": "CeGd2O",
  "functional": "PBE-GGA",
  "state": "optimized geometry",
  "sg": "P4/mmm, No. 123",
  "cell": [[3.1618, 0.0000, 0.0000], [0.0000, 3.1618, 0.0000], [0.0000, 0.0000, 8.8913]],
  "species": ["Gd", "Gd", "Ce", "O"],
  "frac_coords": [[0.0000, 0.0000, 0.1740], [0.0000, 0.0000, 0.8260], [0.5000, 0.5000, 0.5000], [0.5000, 0.5000, 0.0000]]
}

***

Result of the stability comparison: ii is the least stable of them.

***

i.
{
  "formula": "CeGdOs2",
  "functional": "PBE-GGA",
  "state": "optimized geometry",
  "sg": "Fm-3m, No. 225",
  "cell": [[-0.6711, -4.5906, -1.5310], [2.9242, -1.8828, -3.4311], [3.2343, -3.4661, 1.1803]],
  "species": ["Os", "Os", "Gd", "Ce"],
  "frac_coords": [[0.2500, 0.2500, 0.2500], [0.7500, 0.7500, 0.7500], [0.0000, 0.0000, 0.0000], [0.5000, 0.5000, 0.5000]]
}

***

ii.
{
  "formula": "CeGdOs2",
  "functional": "PBE-GGA",
  "state": "optimized geometry",
  "sg": "P4/mmm, No. 123",
  "cell": [[-2.4618, 1.9030, 1.5032], [-0.8754, -2.6949, 1.9781], [4.5146, 2.0529, 4.7947]],
  "species": ["Ce", "Gd", "Os", "Os"],
  "frac_coords": [[0.5000, 0.5000, 0.5000], [0.5000, 0.5000, 0.0000], [0.0000, 0.0000, 0.2630], [0.0000, 0.0000, 0.7370]]
}

***

Result of the stability comparison: i is the least stable of them.